## AgPS2F (SCAN)

Data for a crystal of AgPS2F relaxed with PBEsol.

```
AgPS2F
1.0
4.6639 0.0000 0.0000
0.0000 4.6639 0.0000
0.0000 0.0000 4.8275
Ag P S F
1 1 2 1
direct
0.0000 0.0000 0.0000
0.0000 0.0000 0.5000
0.0000 0.5000 0.0000
0.5000 0.0000 0.0000
0.5000 0.5000 0.5000
```

* symmetry: No. 123
* E_form (uncorrected): 1.016 eV/atom

***

## AgPdF2 (SCAN)

Data for a crystal of AgPdF2 relaxed with PBEsol.

```
AgPdF2
1.0
1.4255 0.8230 7.4848
-1.4255 0.8230 7.4848
0.0000 -1.6461 7.4848
Ag Pd F
1 1 2
direct
0.0000 0.0000 0.0000
0.5000 0.5000 0.5000
0.4119 0.4119 0.4119
0.5881 0.5881 0.5881
```

* symmetry: No. 166
* E_form (uncorrected): -0.985 eV/atom

***

## AgPdF3 (SCAN)

Data for a crystal of AgPdF3 relaxed with PBEsol.

```
AgPdF3
1.0
4.1512 0.0000 0.0000
0.0000 4.1512 0.0000
0.0000 0.0000 4.1512
Ag Pd F
1 1 3
direct
0.0000 0.0000 0.0000
0.5000 0.5000 0.5000
0.0000 0.5000 0.5000
0.5000 0.0000 0.5000
0.5000 0.5000 0.0000
```

* symmetry: No. 221
* E_form (uncorrected): -1.098 eV/atom

***

## AgPtRhF2 (SCAN)

Data for a crystal of AgPtRhF2 relaxed with PBEsol.

```
AgPtRhF2
1.0
3.8386 0.0000 0.0000
0.0000 3.8386 0.0000
0.0000 0.0000 5.4139
Ag Pt Rh F
1 1 1 2
direct
0.0000 0.0000 0.0000
0.5000 0.5000 0.0000
0.0000 0.0000 0.5000
0.0000 0.5000 0.5000
0.5000 0.0000 0.5000
```

* symmetry: No. 123
* E_form (uncorrected): -0.144 eV/atom